Density functional theory data (GGA-PBE) for DyErInC after structural relaxation.

Cell: 3.5792 3.5792 16.3010 Å, 90.00 90.00 120.00°
With the nearest neighbours (Å) after each atom.
Element x y z (fractional)
Er1 0.3333 0.6667 0.1664  3 C 2.47
Er2 0.3333 0.6667 0.8336  3 C 2.47
C1 0.0000 0.0000 0.7511  3 Er 2.47, 3 Dy 2.47
C2 0.0000 0.0000 0.2489  3 Er 2.47, 3 Dy 2.47
In1 0.3333 0.6667 0.5000  6 Dy 3.43, 6 In 3.58
In2 0.6667 0.3333 0.0000  6 Er 3.41, 6 In 3.58
Dy1 0.6667 0.3333 0.6682  3 C 2.47
Dy2 0.6667 0.3333 0.3318  3 C 2.47

E_tot	-5.684	eV/atom
V	22.6	Å³/atom
crystal system	hexagonal
space-group type	P-6m2 (187)
calculated density	8.38	g cm⁻³